LiCo2Se | meta-GGA SCAN | PBEsol geometry

The structure in CIF format:
```
data_LiCo2Se
_space_group_name_H-M_alt 'I -4 m 2'
_space_group_IT_number 119
_space_group_name_Hall 'I -4 -2'
_cell_length_a 3.525
_cell_length_b 3.525
_cell_length_c 7.332
_cell_angle_alpha 90.00
_cell_angle_beta 90.00
_cell_angle_gamma 90.00
loop_
_atom_site_label
_atom_site_type_symbol
_atom_site_fract_x
_atom_site_fract_y
_atom_site_fract_z
Li1 Li 0.000 0.000 0.000
Co1 Co 0.000 0.000 0.500
Co2 Co 0.000 0.500 0.250
Se1 Se 0.000 0.500 0.750
```

**Uncorrected energy**: -14.248 eV per atom
**Uncorrected formation energy**: 0.021 eV per atom